[1]
{
  "formula": "Lu3Sb2S",
  "functional": "GGA-PBE",
  "state": "optimized geometry",
  "cell": [[-3.7763, -1.6952, -0.3340], [3.3239, -2.4270, 0.5543], [-1.1872, 0.6668, 10.0390]],
  "species": ["Sb", "Lu", "Lu", "S", "Lu", "Sb"],
  "frac_coords": [[0.3333, 0.6667, 0.6788], [0.6667, 0.3333, 0.8558], [0.3333, 0.6667, 0.1442], [0.0000, 0.0000, 0.0000], [0.0000, 0.0000, 0.5000], [0.6667, 0.3333, 0.3212]],
  "e_tot_ev_per_atom": -5.586,
  "sg": "P-3m1 (164)"
}



[2]
{
  "formula": "LuSc2S3",
  "functional": "GGA-PBE",
  "state": "optimized geometry",
  "cell": [[3.7324, 0.0000, 0.0000], [-1.8662, 3.2323, 0.0000], [0.0000, 0.0000, 9.1032]],
  "species": ["S", "S", "Sc", "S", "Sc", "Lu"],
  "frac_coords": [[0.6667, 0.3333, 0.8265], [0.0000, 0.0000, 0.5000], [0.3333, 0.6667, 0.6608], [0.3333, 0.6667, 0.1735], [0.6667, 0.3333, 0.3392], [0.0000, 0.0000, 0.0000]],
  "e_tot_ev_per_atom": -6.801,
  "sg": "P-3m1 (164)"
}